(1)
A geometry-optimized Y2SnMoC structure. Source: the Alexandria database, functional PBE-GGA.

Values from the calculation:
Formation energy from the elements   -391 meV/atom
Space-group type   P4/mmm
Spin magnetization   0.000 μB/cell
Raw total energy   -7.7878 eV/atom

Lattice parameters (Å, degrees): 4.967 4.967 4.139 90.00 90.00 90.00
Sites, in units of the cell vectors:
Y: 0.000 0.500 0.000
Y: 0.500 0.000 0.000
C: 0.000 0.000 0.000
Mo: 0.000 0.000 0.500
Sn: 0.500 0.500 0.500

(2)
A geometry-optimized La2MnGa3Pt12 structure. Source: the Alexandria database, functional PBE-GGA.

Values from the calculation:
Formation energy from the elements   -449 meV/atom
Space-group type   R-3m
Spin magnetization   3.397 μB/cell
Raw total energy   -6.0376 eV/atom

Lattice parameters (Å, degrees): 9.514 9.514 9.514 42.09 42.09 42.09
Each line ends with the local moment (μB).
Sites, in units of the cell vectors:
La: 0.658 0.658 0.658  -0.01
La: 0.342 0.342 0.342  -0.01
Mn: 0.000 0.000 0.000  3.01
Ga: 0.500 0.000 0.000  0.00
Ga: 0.000 0.500 0.000  0.00
Ga: 0.000 0.000 0.500  0.00
Pt: 0.413 0.413 0.817  0.01
Pt: 0.924 0.924 0.353  0.06
Pt: 0.353 0.924 0.924  0.06
Pt: 0.817 0.413 0.413  0.01
Pt: 0.924 0.353 0.924  0.06
Pt: 0.413 0.817 0.413  0.01
Pt: 0.587 0.587 0.183  0.01
Pt: 0.076 0.076 0.647  0.06
Pt: 0.647 0.076 0.076  0.06
Pt: 0.183 0.587 0.587  0.01
Pt: 0.076 0.647 0.076  0.06
Pt: 0.587 0.183 0.587  0.01

> Which of these has the lowest spin magnetization?

Y2SnMoC

> Which of these has the highest formation energy from the elements?

Y2SnMoC